Below is crystalline CdCuIr at its relaxed geometry, with properties calculated at the GGA-PBE level.

Properties
Density ... 12.97 g/cm3
Crystal system ... orthorhombic
Energy ... -4.40 eV per atom
Calculated volume ... 15.7 A^3/atom
Energy of formation from the pure elements ... 0.67 eV/f.u.
Distance to the lowest polymorph of the same formula ... 34 meV/atom

Unit cell a=2.823 b=3.764 c=8.868 alpha=90.00 beta=90.00 gamma=90.00
Space group Imm2 (No. 44)
Asymmetric unit:
Cd 0.000 0.000 0.000 (multiplicity 2)
Cu 0.000 0.000 0.682 (multiplicity 2)
Ir 0.000 0.000 0.317 (multiplicity 2)

Below is crystalline La3Cd7Rh4 at its relaxed geometry, with properties calculated at the GGA-PBE level.

Properties
Density ... 8.49 g/cm3
Crystal system ... monoclinic
Energy ... -4.04 eV per atom
Calculated volume ... 22.6 A^3/atom
Energy of formation from the pure elements ... -5.99 eV/f.u.

Unit cell a=16.591 b=4.211 c=10.931 alpha=90.00 beta=124.14 gamma=90.00
Space group C2/m (No. 12)
Asymmetric unit:
La 0.000 0.000 0.000 (multiplicity 2)
La 0.203 0.500 0.721 (multiplicity 4)
Cd 0.000 0.000 0.500 (multiplicity 2)
Cd 0.017 0.500 0.297 (multiplicity 4)
Cd 0.169 0.000 0.434 (multiplicity 4)
Cd 0.175 0.500 0.003 (multiplicity 4)
Rh 0.113 0.000 0.801 (multiplicity 4)
Rh 0.163 0.500 0.248 (multiplicity 4)

Repeat the first record exactly.
Below is crystalline CdCuIr at its relaxed geometry, with properties calculated at the GGA-PBE level.

Properties
Density ... 12.97 g/cm3
Crystal system ... orthorhombic
Energy ... -4.40 eV per atom
Calculated volume ... 15.7 A^3/atom
Energy of formation from the pure elements ... 0.67 eV/f.u.
Distance to the lowest polymorph of the same formula ... 34 meV/atom

Unit cell a=2.823 b=3.764 c=8.868 alpha=90.00 beta=90.00 gamma=90.00
Space group Imm2 (No. 44)
Asymmetric unit:
Cd 0.000 0.000 0.000 (multiplicity 2)
Cu 0.000 0.000 0.682 (multiplicity 2)
Ir 0.000 0.000 0.317 (multiplicity 2)